Entry 1:
DFT (PBE) results for a geometry-optimized Er3MgNi structure.

Unit cell a=5.2087 b=5.2087 c=5.2087 alpha=90.00 beta=90.00 gamma=90.00
Positions (direct):
Er1 0.0000 0.0000 0.5000
Er2 0.0000 0.5000 0.0000
Er3 0.5000 0.0000 0.0000
Mg1 0.5000 0.5000 0.5000
Ni1 0.0000 0.0000 0.0000

Summary:
- mass density (g cm⁻³) = 6.9
- energy above the lowest structure with this stoichiometry (meV per atom) = 112
- formation energy (meV per atom) = -61


Entry 2:
DFT (PBE) results for a geometry-optimized CoSiP structure.

Unit cell a=3.6317 b=3.6317 c=4.7625 alpha=91.34 beta=91.34 gamma=42.17
Positions (direct):
Co1 0.0000 0.0000 0.0000
Si1 0.2912 0.2912 0.2690
P1 0.2836 0.2836 0.7530

Summary:
- formation energy from raw total energies (eV/atom) = -0.171
- mass density (g cm⁻³) = 4.6


Entry 3:
DFT (PBE) results for a geometry-optimized Cs2TiInI6 structure.

Unit cell a=8.6798 b=12.3015 c=8.7202 alpha=90.00 beta=90.00 gamma=90.00
Positions (direct):
Cs1 0.2500 0.0002 0.2491
Cs2 0.2500 0.4998 0.2491
Cs3 0.7500 0.9998 0.7509
Cs4 0.7500 0.5002 0.7509
Ti1 0.2500 0.2500 0.7524
Ti2 0.7500 0.7500 0.2476
In1 0.2500 0.7500 0.7478
In2 0.7500 0.2500 0.2522
I1 0.0188 0.2500 0.5229
I2 0.0192 0.2500 0.9823
I3 0.2500 0.0197 0.7526
I4 0.2500 0.4803 0.7526
I5 0.4812 0.2500 0.5229
I6 0.4808 0.2500 0.9823
I7 0.5192 0.7500 0.0177
I8 0.5188 0.7500 0.4771
I9 0.7500 0.5197 0.2474
I10 0.7500 0.9803 0.2474
I11 0.9808 0.7500 0.0177
I12 0.9812 0.7500 0.4771

Summary:
- formation energy from raw total energies (eV/atom) = -1.002
- mass density (g cm⁻³) = 4.2


Entry 4:
DFT (PBE) results for a geometry-optimized Ti2AlPt structure.

Unit cell a=5.0183 b=5.0183 c=5.0183 alpha=137.22 beta=132.08 gamma=66.17
Positions (direct):
Ti1 0.2404 0.2404 0.0000
Ti2 0.7596 0.7596 0.0000
Al1 0.5000 0.0000 0.5000
Pt1 0.0000 0.5000 0.5000

Summary:
- mass density (g cm⁻³) = 8.4
- formation energy (meV per atom) = -703


| no. | M_tot (μB/cell) |
| --- | --- |
| 1 | 0.01 |
| 2 | 0.00 |
| 3 | 2.00 |
| 4 | 0.00 |